Entry 1:
## Be2RuPb (PBE-GGA)

Data for a relaxed Be2RuPb crystal.

Spin magnetization (μB/f.u.): 0.0
Space group: P4mm (99)
Raw total energy (eV per atom): -4.828
Formation energy from the elements (eV per atom): 0.281

abc: 3.153 3.153 5.879
angles: 90.00 90.00 90.00
Positions (direct):
Pb (0.000, 0.000, 0.497)
Ru (0.500, 0.500, 0.827)
Be (0.000, 0.000, 0.989)
Be (0.500, 0.500, 0.187)

---

Entry 2:
## MgReRh (PBE-GGA)

Data for a relaxed MgReRh crystal.

Spin magnetization (μB/f.u.): 0.0
Space group: C2/m (12)
Raw total energy (eV per atom): -7.261
Formation energy from the elements (eV per atom): -0.129

abc: 7.387 4.851 2.899
angles: 107.37 101.32 73.14
Positions (direct):
Re (0.014, 0.531, 0.265)
Re (0.934, 0.009, 0.964)
Mg (0.582, 0.992, 0.280)
Mg (0.366, 0.547, 0.950)
Rh (0.230, 0.052, 0.633)
Rh (0.718, 0.488, 0.595)

---

Entry 3:
## Na2CuAu2 (PBE-GGA)

Data for a relaxed Na2CuAu2 crystal.

Spin magnetization (μB/f.u.): 0.0
Space group: P4/mbm (127)
Raw total energy (eV per atom): -2.790
Formation energy from the elements (eV per atom): -0.133

abc: 6.720 6.720 4.693
angles: 90.00 90.00 90.00
Positions (direct):
Na (0.169, 0.669, 0.500)
Na (0.669, 0.831, 0.500)
Na (0.831, 0.331, 0.500)
Na (0.331, 0.169, 0.500)
Au (0.354, 0.854, 0.000)
Au (0.854, 0.646, 0.000)
Au (0.646, 0.146, 0.000)
Au (0.146, 0.354, 0.000)
Cu (0.000, 0.000, 0.000)
Cu (0.500, 0.500, 0.000)

---

Entry 4:
## AlAg2Ir (PBE-GGA)

Data for a relaxed AlAg2Ir crystal.

Spin magnetization (μB/f.u.): 0.1
Space group: Pmmm (47)
Raw total energy (eV per atom): -4.436
Formation energy from the elements (eV per atom): 0.141

abc: 2.831 4.238 5.408
angles: 90.00 90.00 90.00
Positions (direct):
Ir (0.500, 0.500, 0.750)
Al (0.500, 0.500, 0.250)
Ag (0.000, 0.000, 0.001)
Ag (0.000, 0.000, 0.499)

---

What is the formula in the third record?
Na2CuAu2

---

Repeat the fourth record exactly.
## AlAg2Ir (PBE-GGA)

Data for a relaxed AlAg2Ir crystal.

Spin magnetization (μB/f.u.): 0.1
Space group: Pmmm (47)
Raw total energy (eV per atom): -4.436
Formation energy from the elements (eV per atom): 0.141

abc: 2.831 4.238 5.408
angles: 90.00 90.00 90.00
Positions (direct):
Ir (0.500, 0.500, 0.750)
Al (0.500, 0.500, 0.250)
Ag (0.000, 0.000, 0.001)
Ag (0.000, 0.000, 0.499)

---

Look up the raw total energy of the third one.
-2.790 eV per atom